The following is a DFT calculation (PBE with a Hubbard U) of crystalline Li2WF2 at its relaxed geometry.

Properties
E above lowest polymorph = 0.00 eV/f.u.
Calculated total energy = -4.282 eV per atom
Mass density = 4.3 g/cm3
Symmetry = I4/mmm, No. 139

CIF file:
```
data_Li2WF2
_space_group_name_H-M_alt 'P 1'
_space_group_IT_number 1
_cell_length_a 3.7152
_cell_length_b 3.7152
_cell_length_c 7.0536
_cell_angle_alpha 74.73
_cell_angle_beta 74.73
_cell_angle_gamma 90.00
loop_
_space_group_symop_operation_xyz
'x,y,z'
loop_
_atom_site_label
_atom_site_type_symbol
_atom_site_fract_x
_atom_site_fract_y
_atom_site_fract_z
Li1 Li 0.2723 0.2723 0.4553
Li2 Li 0.7277 0.7277 0.5447
W1 W 0.0000 0.0000 0.0000
F1 F 0.7500 0.2500 0.5000
F2 F 0.2500 0.7500 0.5000
```